Entry 1:
Y3TmCu4: optimized geometry, PBE.

Properties
Energy of formation ... -0.2541 eV per atom
Total moment ... 0.0 μB/cell

a = 3.4665 Å, b = 3.4665 Å, c = 13.8541 Å
α = 90.00°, β = 90.00°, γ = 90.00°
Last column: nearest neighbours and their distance in Å.
Space group P4/mmm (No. 123)
Inequivalent atoms, fractional coordinates:
Y  0.0000  0.0000  0.0000 (multiplicity 1)  8 Cu 3.00
Y  0.0000  0.0000  0.2523 (multiplicity 2)  8 Cu 3.02-3.03
Tm  0.0000  0.0000  0.5000 (multiplicity 1)  8 Cu 2.95
Cu  0.5000  0.5000  0.1250 (multiplicity 2)  8 Y 3.00-3.02
Cu  0.5000  0.5000  0.3812 (multiplicity 2)  4 Tm 2.95, 4 Y 3.03, 1 Cu 3.29

Entry 2:
Y2Tm3Cu4: optimized geometry, PBE.

Properties
Energy of formation ... -0.2115 eV per atom
Total moment ... 0.0 μB/cell

a = 8.3820 Å, b = 7.1922 Å, c = 7.0239 Å
α = 90.00°, β = 108.89°, γ = 90.00°
Last column: nearest neighbours and their distance in Å.
Space group P2_1/c (No. 14)
Inequivalent atoms, fractional coordinates:
Y  0.1895  0.1788  0.0614 (multiplicity 4)  6 Cu 2.96-3.22
Tm  0.2352  0.6740  0.2303 (multiplicity 4)  6 Cu 2.78-3.01
Tm  0.5000  0.0000  0.5000 (multiplicity 2)  4 Cu 2.83
Cu  0.0661  0.5322  0.8506 (multiplicity 4)  1 Cu 2.71, 3 Tm 2.78-2.82, 2 Y 2.96-2.98
Cu  0.4919  0.1245  0.8785 (multiplicity 4)  1 Cu 2.45

Entry 3:
YTm2Cu: optimized geometry, PBE.

Properties
Distance to the lowest polymorph of the same formula ... 11 meV/atom
Energy of formation ... -0.1143 eV per atom
Total moment ... 0.0 μB/cell

a = 3.4467 Å, b = 3.4467 Å, c = 8.6680 Å
α = 90.00°, β = 90.00°, γ = 90.00°
Last column: nearest neighbours and their distance in Å.
Space group P4/mmm (No. 123)
Inequivalent atoms, fractional coordinates:
Y  0.0000  0.0000  0.0000 (multiplicity 1)  4 Y 3.45, 8 Tm 3.59
Tm  0.5000  0.5000  0.3045 (multiplicity 2)  4 Cu 2.97
Cu  0.0000  0.0000  0.5000 (multiplicity 1)  8 Tm 2.97

Entry 4:
Y2TmCu: optimized geometry, PBE.

Properties
Distance to the lowest polymorph of the same formula ... 0 meV/atom
Energy of formation ... -0.1163 eV per atom
Total moment ... 0.0 μB/cell

a = 6.8289 Å, b = 9.6468 Å, c = 6.4987 Å
α = 90.00°, β = 90.00°, γ = 90.00°
Last column: nearest neighbours and their distance in Å.
Space group Pnma (No. 62)
Inequivalent atoms, fractional coordinates:
Y  0.1936  0.0601  0.1893 (multiplicity 8)  2 Cu 2.85-2.93
Tm  0.0223  0.2500  0.6311 (multiplicity 4)  2 Cu 2.77-2.85
Cu  0.0930  0.7500  0.9600 (multiplicity 4)  2 Tm 2.77-2.85, 4 Y 2.85-2.93

Entry 5:
YTm2Cu9: optimized geometry, PBE.

Properties
Energy of formation ... -0.2196 eV per atom
Total moment ... 0.0 μB/cell

a = 5.1334 Å, b = 5.1334 Å, c = 24.8357 Å
α = 90.00°, β = 90.00°, γ = 120.00°
Last column: nearest neighbours and their distance in Å.
Space group R-3m (No. 166, hexagonal axes)
Inequivalent atoms, fractional coordinates:
Y  0.0000  0.0000  0.0000 (multiplicity 3)  18 Cu 2.96-3.29
Tm  0.0000  0.0000  0.1413 (multiplicity 6)  12 Cu 2.95-3.09, 3 Tm 3.22
Cu  0.0000  0.0000  0.3325 (multiplicity 6)  6 Cu 2.51-2.55
Cu  0.0000  0.0000  0.5000 (multiplicity 3)  6 Cu 2.56
Cu  0.0007  0.5004  0.9173 (multiplicity 18)  7 Cu 2.51-2.57

Entry 6:
YTm2Cu3: optimized geometry, PBE.

Properties
Energy of formation ... -0.2780 eV per atom
Total moment ... 0.0 μB/cell

a = 3.4313 Å, b = 3.4313 Å, c = 10.3539 Å
α = 90.00°, β = 90.00°, γ = 90.00°
Last column: nearest neighbours and their distance in Å.
Space group P4/mmm (No. 123)
Inequivalent atoms, fractional coordinates:
Y  0.0000  0.0000  0.0000 (multiplicity 1)  8 Cu 3.02
Tm  0.0000  0.0000  0.3354 (multiplicity 2)  8 Cu 2.95-2.96
Cu  0.5000  0.5000  0.1737 (multiplicity 2)  4 Tm 2.95, 4 Y 3.02
Cu  0.5000  0.5000  0.5000 (multiplicity 1)  8 Tm 2.96

Entry 7:
YTm2Cu: optimized geometry, PBE.

Properties
Distance to the lowest polymorph of the same formula ... 37 meV/atom
Energy of formation ... -0.0881 eV per atom
Total moment ... 0.0 μB/cell

a = 4.8061 Å, b = 7.6676 Å, c = 6.1640 Å
α = 90.00°, β = 112.87°, γ = 90.00°
Last column: nearest neighbours and their distance in Å.
Space group P2_1/m (No. 11)
Inequivalent atoms, fractional coordinates:
Y  0.0465  0.2500  0.0933 (multiplicity 2)  1 Cu 2.90
Tm  0.3506  0.0375  0.7011 (multiplicity 4)  3 Cu 2.73-2.98
Cu  0.2080  0.7500  0.4171 (multiplicity 2)  6 Tm 2.73-2.98, 1 Y 2.90

Entry 8:
YTmCu: optimized geometry, PBE.

Properties
Distance to the lowest polymorph of the same formula ... 0 meV/atom
Energy of formation ... -0.1837 eV per atom
Total moment ... 0.0 μB/cell

a = 6.9476 Å, b = 4.8543 Å, c = 8.6100 Å
α = 90.00°, β = 90.00°, γ = 90.00°
Last column: nearest neighbours and their distance in Å.
Space group Pnma (No. 62)
Inequivalent atoms, fractional coordinates:
Y  0.0175  0.2500  0.1739 (multiplicity 4)  3 Cu 2.86-3.11
Tm  0.1424  0.2500  0.5823 (multiplicity 4)  4 Cu 2.75-2.99
Cu  0.2479  0.2500  0.8988 (multiplicity 4)  4 Tm 2.75-2.99, 1 Y 2.86